A geometry-optimized ScP2WO structure, computed with PBE with a Hubbard U.

Computed properties:
- spin magnetization (μB/f.u.) = 2.5
- ΔE to the lowest computed polymorph (meV per atom) = 644
- electronic total energy (eV per atom) = -5.786

Cell: 5.0064 5.0064 3.8428 Å, 90.00 90.00 90.00°
Last column: nearest neighbours and their distance in Å.
Positions (direct):
P (0.5000, 0.0000, 0.0000)  2 Sc 2.50
P (0.0000, 0.5000, 0.0000)  2 Sc 2.50
Sc (0.0000, 0.0000, 0.0000)  2 O 1.92
O (0.0000, 0.0000, 0.5000)  2 Sc 1.92
W (0.5000, 0.5000, 0.5000)  8 P 3.16